#a
The following is a PBE+U calculation of an optimized crystal structure of VFeF3, from Alexandria via LeMat-Bulk.

abc: 4.1138 4.1138 4.1138
angles: 90.00 90.00 90.00
Space group Pm-3m (No. 221)
One atom of each set of equivalent atoms:
V: 0.0000 0.0000 0.0000 (multiplicity 1)
Fe: 0.5000 0.5000 0.5000 (multiplicity 1)
F: 0.0000 0.5000 0.5000 (multiplicity 3)

For the total magnetization, the calculation gives 8.05 Bohr magnetons per cell.

=====

#b
The following is a PBE+U calculation of an optimized crystal structure of VFeF3, from Alexandria via LeMat-Bulk.

abc: 4.1583 4.1583 4.1583
angles: 90.00 90.00 90.00
Space group Pm-3m (No. 221)
One atom of each set of equivalent atoms:
V: 0.0000 0.0000 0.0000 (multiplicity 1)
Fe: 0.5000 0.5000 0.5000 (multiplicity 1)
F: 0.0000 0.0000 0.5000 (multiplicity 3)

For the total magnetization, the calculation gives 6.74 Bohr magnetons per cell.

=====

Which structure is most stable? #b, by 254 meV/atom over the runner-up.

=====

#a
The following is a PBE+U calculation of an optimized crystal structure of VFeF2, from Alexandria via LeMat-Bulk.

abc: 3.3539 3.3539 19.4200
angles: 90.00 90.00 120.00
Space group R-3m (No. 166, hexagonal axes)
One atom of each set of equivalent atoms:
V: 0.0000 0.0000 0.0000 (multiplicity 3)
Fe: 0.0000 0.0000 0.5000 (multiplicity 3)
F: 0.0000 0.0000 0.1175 (multiplicity 6)

For the total magnetization, the calculation gives 23.51 Bohr magnetons per cell.

=====

#b
The following is a PBE+U calculation of an optimized crystal structure of VFeF2, from Alexandria via LeMat-Bulk.

abc: 3.2097 3.2097 23.1254
angles: 90.00 90.00 120.00
Space group R-3m (No. 166, hexagonal axes)
One atom of each set of equivalent atoms:
V: 0.0000 0.0000 0.0000 (multiplicity 3)
Fe: 0.0000 0.0000 0.5000 (multiplicity 3)
F: 0.0000 0.0000 0.3772 (multiplicity 6)

For the total magnetization, the calculation gives 18.18 Bohr magnetons per cell.

=====

#c
The following is a PBE+U calculation of an optimized crystal structure of VFeF2, from Alexandria via LeMat-Bulk.

abc: 5.8499 5.8499 5.8499
angles: 90.00 90.00 90.00
Space group Fm-3m (No. 225)
One atom of each set of equivalent atoms:
V: 0.0000 0.0000 0.0000 (multiplicity 4)
Fe: 0.0000 0.0000 0.5000 (multiplicity 4)
F: 0.2500 0.2500 0.2500 (multiplicity 8)

For the total magnetization, the calculation gives 26.51 Bohr magnetons per cell.

=====

Which structure is most stable? #b, by 185 meV/atom over the runner-up.

=====

#a
The following is a PBE+U calculation of an optimized crystal structure of FeW3F, from Alexandria via LeMat-Bulk.

abc: 4.8591 4.8591 4.8591
angles: 90.00 90.00 90.00
Space group Pm-3m (No. 221)
One atom of each set of equivalent atoms:
Fe: 0.0000 0.0000 0.0000 (multiplicity 1)
W: 0.0000 0.0000 0.5000 (multiplicity 3)
F: 0.5000 0.5000 0.5000 (multiplicity 1)

For the total magnetization, the calculation gives 8.56 Bohr magnetons per cell.

=====

#b
The following is a PBE+U calculation of an optimized crystal structure of FeW3F, from Alexandria via LeMat-Bulk.

abc: 4.2861 4.2861 4.2861
angles: 90.00 90.00 90.00
Space group Pm-3m (No. 221)
One atom of each set of equivalent atoms:
Fe: 0.0000 0.0000 0.0000 (multiplicity 1)
W: 0.0000 0.5000 0.5000 (multiplicity 3)
F: 0.5000 0.5000 0.5000 (multiplicity 1)

For the total magnetization, the calculation gives 3.89 Bohr magnetons per cell.

=====

Which structure is most stable? #b, by 282 meV/atom over the runner-up.

=====

#a
The following is a PBE+U calculation of an optimized crystal structure of FeWF2, from Alexandria via LeMat-Bulk.

abc: 2.8201 2.8201 25.6479
angles: 90.00 90.00 120.00
Space group R-3m (No. 166, hexagonal axes)
One atom of each set of equivalent atoms:
Fe: 0.0000 0.0000 0.0000 (multiplicity 3)
W: 0.0000 0.0000 0.5000 (multiplicity 3)
F: 0.0000 0.0000 0.1039 (multiplicity 6)

For the total magnetization, the calculation gives 10.63 Bohr magnetons per cell.

=====

#b
The following is a PBE+U calculation of an optimized crystal structure of FeWF2, from Alexandria via LeMat-Bulk.

abc: 6.0463 6.0463 6.0463
angles: 90.00 90.00 90.00
Space group Fm-3m (No. 225)
One atom of each set of equivalent atoms:
Fe: 0.0000 0.0000 0.0000 (multiplicity 4)
W: 0.0000 0.0000 0.5000 (multiplicity 4)
F: 0.2500 0.2500 0.2500 (multiplicity 8)

For the total magnetization, the calculation gives 12.34 Bohr magnetons per cell.

=====

#c
The following is a PBE+U calculation of an optimized crystal structure of FeWF2, from Alexandria via LeMat-Bulk.

abc: 2.8092 2.8092 22.6760
angles: 90.00 90.00 120.00
Space group R-3m (No. 166, hexagonal axes)
One atom of each set of equivalent atoms:
Fe: 0.0000 0.0000 0.0000 (multiplicity 3)
W: 0.0000 0.0000 0.5000 (multiplicity 3)
F: 0.0000 0.0000 0.4054 (multiplicity 6)

For the total magnetization, the calculation gives 10.12 Bohr magnetons per cell.

=====

Which structure is most stable? #c, by 277 meV/atom over the runner-up.

=====

#a
The following is a PBE+U calculation of an optimized crystal structure of Fe2WF, from Alexandria via LeMat-Bulk.

abc: 6.3976 6.3976 6.3976
angles: 90.00 90.00 90.00
Space group Fm-3m (No. 225)
One atom of each set of equivalent atoms:
Fe: 0.2500 0.2500 0.2500 (multiplicity 8)
W: 0.0000 0.0000 0.0000 (multiplicity 4)
F: 0.0000 0.0000 0.5000 (multiplicity 4)

For the total magnetization, the calculation gives 12.16 Bohr magnetons per cell.

=====

#b
The following is a PBE+U calculation of an optimized crystal structure of Fe2WF, from Alexandria via LeMat-Bulk.

abc: 6.7739 6.7739 5.7756
angles: 90.00 90.00 90.00
Space group I-42d (No. 122)
One atom of each set of equivalent atoms:
Fe: 0.1837 0.2500 0.1250 (multiplicity 8)
W: 0.0000 0.0000 0.5000 (multiplicity 4)
F: 0.0000 0.0000 0.0000 (multiplicity 4)

For the total magnetization, the calculation gives 12.46 Bohr magnetons per cell.

=====

Which structure is most stable? #b, by 566 meV/atom over the runner-up.

=====

#a
The following is a PBE+U calculation of an optimized crystal structure of FeWF3, from Alexandria via LeMat-Bulk.

abc: 4.0606 4.0606 4.0606
angles: 90.00 90.00 90.00
Space group Pm-3m (No. 221)
One atom of each set of equivalent atoms:
Fe: 0.0000 0.0000 0.0000 (multiplicity 1)
W: 0.5000 0.5000 0.5000 (multiplicity 1)
F: 0.0000 0.0000 0.5000 (multiplicity 3)

For the total magnetization, the calculation gives 4.97 Bohr magnetons per cell.

=====

#b
The following is a PBE+U calculation of an optimized crystal structure of FeWF3, from Alexandria via LeMat-Bulk.

abc: 4.3169 4.3169 4.3169
angles: 90.00 90.00 90.00
Space group Pm-3m (No. 221)
One atom of each set of equivalent atoms:
Fe: 0.0000 0.0000 0.0000 (multiplicity 1)
W: 0.5000 0.5000 0.5000 (multiplicity 1)
F: 0.0000 0.5000 0.5000 (multiplicity 3)

For the total magnetization, the calculation gives 0.30 Bohr magnetons per cell.

=====

Which structure is most stable? #b, by 629 meV/atom over the runner-up.

=====

#a
The following is a PBE+U calculation of an optimized crystal structure of YFeF2, from Alexandria via LeMat-Bulk.

abc: 4.3911 4.3911 14.9900
angles: 90.00 90.00 90.00
Space group I-42d (No. 122)
One atom of each set of equivalent atoms:
Y: 0.0000 0.0000 0.0000 (multiplicity 4)
Fe: 0.0000 0.0000 0.5000 (multiplicity 4)
F: 0.1669 0.2500 0.1250 (multiplicity 8)

For the total magnetization, the calculation gives 13.05 Bohr magnetons per cell.

=====

#b
The following is a PBE+U calculation of an optimized crystal structure of YFeF2, from Alexandria via LeMat-Bulk.

abc: 3.1159 3.1159 23.2813
angles: 90.00 90.00 120.00
Space group R-3m (No. 166, hexagonal axes)
One atom of each set of equivalent atoms:
Y: 0.0000 0.0000 0.0000 (multiplicity 3)
Fe: 0.0000 0.0000 0.5000 (multiplicity 3)
F: 0.0000 0.0000 0.4029 (multiplicity 6)

For the total magnetization, the calculation gives 10.75 Bohr magnetons per cell.

=====

#c
The following is a PBE+U calculation of an optimized crystal structure of YFeF2, from Alexandria via LeMat-Bulk.

abc: 6.1937 6.1937 6.1937
angles: 90.00 90.00 90.00
Space group Fm-3m (No. 225)
One atom of each set of equivalent atoms:
Y: 0.0000 0.0000 0.0000 (multiplicity 4)
Fe: 0.0000 0.0000 0.5000 (multiplicity 4)
F: 0.2500 0.2500 0.2500 (multiplicity 8)

For the total magnetization, the calculation gives 12.00 Bohr magnetons per cell.

=====

Which structure is most stable? #a, by 118 meV/atom over the runner-up.

=====

#a
The following is a PBE+U calculation of an optimized crystal structure of YFe2F, from Alexandria via LeMat-Bulk.

abc: 4.9221 4.9221 13.6022
angles: 90.00 90.00 90.00
Space group I-42d (No. 122)
One atom of each set of equivalent atoms:
Y: 0.0000 0.0000 0.0000 (multiplicity 4)
Fe: 0.0018 0.7500 0.6250 (multiplicity 8)
F: 0.0000 0.0000 0.5000 (multiplicity 4)

For the total magnetization, the calculation gives 9.27 Bohr magnetons per cell.

=====

#b
The following is a PBE+U calculation of an optimized crystal structure of YFe2F, from Alexandria via LeMat-Bulk.

abc: 6.7782 6.7782 6.7782
angles: 90.00 90.00 90.00
Space group Fm-3m (No. 225)
One atom of each set of equivalent atoms:
Y: 0.0000 0.0000 0.0000 (multiplicity 4)
Fe: 0.2500 0.2500 0.2500 (multiplicity 8)
F: 0.0000 0.0000 0.5000 (multiplicity 4)

For the total magnetization, the calculation gives 24.99 Bohr magnetons per cell.

=====

Which structure is most stable? #b, by 291 meV/atom over the runner-up.

=====

#a
The following is a PBE+U calculation of an optimized crystal structure of Y2FeF, from Alexandria via LeMat-Bulk.

abc: 6.9357 6.9357 7.4320
angles: 90.00 90.00 90.00
Space group I-42d (No. 122)
One atom of each set of equivalent atoms:
Y: 0.1755 0.2500 0.1250 (multiplicity 8)
Fe: 0.0000 0.0000 0.5000 (multiplicity 4)
F: 0.0000 0.0000 0.0000 (multiplicity 4)

For the total magnetization, the calculation gives 9.99 Bohr magnetons per cell.

=====

#b
The following is a PBE+U calculation of an optimized crystal structure of Y2FeF, from Alexandria via LeMat-Bulk.

abc: 6.9701 6.9701 6.9701
angles: 90.00 90.00 90.00
Space group Fm-3m (No. 225)
One atom of each set of equivalent atoms:
Y: 0.2500 0.2500 0.2500 (multiplicity 8)
Fe: 0.0000 0.0000 0.0000 (multiplicity 4)
F: 0.0000 0.0000 0.5000 (multiplicity 4)

For the total magnetization, the calculation gives 4.32 Bohr magnetons per cell.

=====

Which structure is most stable? #a, by 469 meV/atom over the runner-up.

=====

#a
The following is a PBE+U calculation of an optimized crystal structure of YFeF3, from Alexandria via LeMat-Bulk.

abc: 4.1898 4.1898 4.1898
angles: 90.00 90.00 90.00
Space group Pm-3m (No. 221)
One atom of each set of equivalent atoms:
Y: 0.0000 0.0000 0.0000 (multiplicity 1)
Fe: 0.5000 0.5000 0.5000 (multiplicity 1)
F: 0.0000 0.5000 0.5000 (multiplicity 3)

For the total magnetization, the calculation gives 2.35 Bohr magnetons per cell.

=====

#b
The following is a PBE+U calculation of an optimized crystal structure of YFeF3, from Alexandria via LeMat-Bulk.

abc: 4.4594 4.4594 4.4594
angles: 90.00 90.00 90.00
Space group Pm-3m (No. 221)
One atom of each set of equivalent atoms:
Y: 0.0000 0.0000 0.0000 (multiplicity 1)
Fe: 0.5000 0.5000 0.5000 (multiplicity 1)
F: 0.0000 0.0000 0.5000 (multiplicity 3)

For the total magnetization, the calculation gives 3.70 Bohr magnetons per cell.

=====

Which structure is most stable? #b, by 740 meV/atom over the runner-up.

=====

#a
The following is a PBE+U calculation of an optimized crystal structure of YFe3F, from Alexandria via LeMat-Bulk.

abc: 4.5949 4.5949 4.5949
angles: 90.00 90.00 90.00
Space group Pm-3m (No. 221)
One atom of each set of equivalent atoms:
Y: 0.0000 0.0000 0.0000 (multiplicity 1)
Fe: 0.0000 0.5000 0.5000 (multiplicity 3)
F: 0.5000 0.5000 0.5000 (multiplicity 1)

For the total magnetization, the calculation gives 10.52 Bohr magnetons per cell.

=====

#b
The following is a PBE+U calculation of an optimized crystal structure of YFe3F, from Alexandria via LeMat-Bulk.

abc: 5.3623 5.3623 5.3623
angles: 90.00 90.00 90.00
Space group Pm-3m (No. 221)
One atom of each set of equivalent atoms:
Y: 0.0000 0.0000 0.0000 (multiplicity 1)
Fe: 0.0000 0.0000 0.5000 (multiplicity 3)
F: 0.5000 0.5000 0.5000 (multiplicity 1)

For the total magnetization, the calculation gives 9.95 Bohr magnetons per cell.

=====

Which structure is most stable? #a, by 1400 meV/atom over the runner-up.

=====

#a
The following is a PBE+U calculation of an optimized crystal structure of ZnFe2F, from Alexandria via LeMat-Bulk.

abc: 6.5027 6.5027 5.7673
angles: 90.00 90.00 90.00
Space group I-42d (No. 122)
One atom of each set of equivalent atoms:
Zn: 0.0000 0.0000 0.0000 (multiplicity 4)
Fe: 0.2023 0.2500 0.6250 (multiplicity 8)
F: 0.0000 0.0000 0.5000 (multiplicity 4)

For the total magnetization, the calculation gives 28.03 Bohr magnetons per cell.

=====

#b
The following is a PBE+U calculation of an optimized crystal structure of ZnFe2F, from Alexandria via LeMat-Bulk.

abc: 6.1067 6.1067 6.1067
angles: 90.00 90.00 90.00
Space group Fm-3m (No. 225)
One atom of each set of equivalent atoms:
Zn: 0.0000 0.0000 0.0000 (multiplicity 4)
Fe: 0.2500 0.2500 0.2500 (multiplicity 8)
F: 0.0000 0.0000 0.5000 (multiplicity 4)

For the total magnetization, the calculation gives 25.03 Bohr magnetons per cell.

=====

Which structure is most stable? #a, by 247 meV/atom over the runner-up.